## CaCoMo2 (PBE-GGA)

Data for CaCoMo2 after structural relaxation.

Structure (CIF):
```
data_CaCoMo2
_cell_length_a 3.9727
_cell_length_b 3.9846
_cell_length_c 8.5776
_cell_angle_alpha 90.00
_cell_angle_beta 90.00
_cell_angle_gamma 90.00
_symmetry_space_group_name_H-M 'C m m 2'
_symmetry_Int_Tables_number 35
loop_
_symmetry_equiv_pos_as_xyz
'x,y,z'
'-x,-y,z'
'-x,y,z'
'x,-y,z'
'x+1/2,y+1/2,z'
'-x+1/2,-y+1/2,z'
'-x+1/2,y+1/2,z'
'x+1/2,-y+1/2,z'
loop_
_atom_site_label
_atom_site_type_symbol
_atom_site_fract_x
_atom_site_fract_y
_atom_site_fract_z
Ca1 Ca 0.0000 0.0000 0.0000
Co1 Co 0.0000 0.5000 0.2595
Mo1 Mo 0.0000 0.0000 0.4312
Mo2 Mo 0.0000 0.5000 0.6878
```

Calculated values
ΔE_f (meV/atom): 473
DFT total energy (eV per atom): -7.220
Polymorph energy (0 for the lowest one) (eV per formula unit): 0.19